# 1
Computed, not measured: CsYPb2 after structural relaxation at the GGA-PBE level of DFT.

Calculated values
As for the density of states at the Fermi level: 0.3 states/eV/f.u. The formation energy comes out at 0.097 eV per atom.

Cell lengths 6.213, 6.213, 11.301 Å; angles 74.05, 74.05, 90.00 degrees
Element x y z (fractional)
Y: 0.500 0.500 0.000
Pb: 0.474 0.125 0.250
Cs: 0.000 0.000 0.000
Cs: 0.750 0.250 0.500
Pb: 0.276 0.625 0.250
Pb: 0.875 0.724 0.750
Pb: 0.375 0.526 0.750
Y: 0.250 0.750 0.500

***

# 2
Computed, not measured: MgTc2Os after structural relaxation at the GGA-PBE level of DFT.

Calculated values
As for the density of states at the Fermi level: 5.1 states/eV/f.u. The formation energy comes out at 0.202 eV per atom.

Cell lengths 2.778, 2.778, 8.001 Å; angles 90.00, 90.00, 90.00 degrees
Element x y z (fractional)
Mg: 0.500 0.500 0.250
Tc: 0.000 0.000 0.519
Os: 0.500 0.500 0.750
Tc: 0.000 0.000 0.981

***

# 3
Computed, not measured: TbTmZnCd after structural relaxation at the GGA-PBE level of DFT.

Calculated values
As for the density of states at the Fermi level: 3.7 states/eV/f.u. The formation energy comes out at -0.332 eV per atom.

Cell lengths 3.572, 3.572, 7.550 Å; angles 90.00, 90.00, 90.00 degrees
Element x y z (fractional)
Cd: 0.000 0.000 0.849
Tb: 0.500 0.500 0.126
Tm: 0.500 0.500 0.587
Zn: 0.000 0.000 0.366